# MnZnFe2

A geometry-optimized MnZnFe2 structure (PBEsol, Alexandria via LeMat-Bulk).

a b c (Å): 2.485 2.485 7.127
angles (deg): 90.00 90.00 90.00
Positions (direct):
Mn: 0.000 0.000 0.000
Zn: 0.500 0.500 0.271
Fe: 0.000 0.000 0.537
Fe: 0.500 0.500 0.773

Output
- symmetry = No. 99
- crystal system = tetragonal
- VASP energy (eV per atom) = -7.238

---

# LiNbVO4

A geometry-optimized LiNbVO4 structure (PBEsol, Alexandria via LeMat-Bulk).

a b c (Å): 5.954 5.954 10.376
angles (deg): 106.92 106.92 59.41
Positions (direct):
Li: 0.058 0.058 0.190
Li: 0.434 0.434 0.312
Li: 0.566 0.566 0.688
Li: 0.942 0.942 0.810
Nb: 0.000 0.000 0.500
Nb: 0.264 0.264 0.764
Nb: 0.500 0.500 0.000
Nb: 0.736 0.736 0.236
V: 0.000 0.500 0.000
V: 0.000 0.500 0.500
V: 0.500 0.000 0.000
V: 0.500 0.000 0.500
O: 0.100 0.637 0.379
O: 0.114 0.628 0.882
O: 0.132 0.132 0.390
O: 0.141 0.141 0.880
O: 0.360 0.360 0.619
O: 0.363 0.900 0.621
O: 0.368 0.368 0.111
O: 0.372 0.886 0.118
O: 0.628 0.114 0.882
O: 0.632 0.632 0.889
O: 0.637 0.100 0.379
O: 0.640 0.640 0.381
O: 0.859 0.859 0.120
O: 0.868 0.868 0.610
O: 0.886 0.372 0.118
O: 0.900 0.363 0.621

Output
- symmetry = No. 12
- relative energy among the computed polymorphs (eV/atom) = 0.000
- crystal system = monoclinic
- raw formation energy (eV/f.u.) = -16.17
- VASP energy (eV per atom) = -8.513

---

# ZrAg2IrRh

A geometry-optimized ZrAg2IrRh structure (PBEsol, Alexandria via LeMat-Bulk).

a b c (Å): 4.784 4.784 4.619
angles (deg): 90.00 90.00 90.00
Positions (direct):
Zr: 0.000 0.000 0.000
Ag: 0.000 0.500 0.500
Ag: 0.500 0.000 0.500
Ir: 0.500 0.500 0.000
Rh: 0.000 0.000 0.500

Output
- symmetry = No. 123
- crystal system = tetragonal
- VASP energy (eV per atom) = -5.534

---

# SrInPbS2

A geometry-optimized SrInPbS2 structure (PBEsol, Alexandria via LeMat-Bulk).

a b c (Å): 5.162 5.162 5.408
angles (deg): 90.00 90.00 90.00
Positions (direct):
Sr: 0.000 0.000 0.000
In: 0.500 0.500 0.500
Pb: 0.500 0.500 0.000
S: 0.000 0.500 0.500
S: 0.500 0.000 0.500

Output
- symmetry = No. 123
- crystal system = tetragonal
- raw formation energy (eV/f.u.) = -1.19
- VASP energy (eV per atom) = -3.757

---

# Ag5Sb

A geometry-optimized Ag5Sb structure (PBEsol, Alexandria via LeMat-Bulk).

a b c (Å): 4.151 12.539 4.107
angles (deg): 90.00 90.00 90.00
Positions (direct):
Ag: 0.000 0.000 0.000
Ag: 0.000 0.170 0.500
Ag: 0.000 0.329 0.000
Ag: 0.000 0.671 0.000
Ag: 0.000 0.830 0.500
Ag: 0.500 0.171 0.000
Ag: 0.500 0.330 0.500
Ag: 0.500 0.500 0.000
Ag: 0.500 0.670 0.500
Ag: 0.500 0.829 0.000
Sb: 0.000 0.500 0.500
Sb: 0.500 0.000 0.500

Output
- symmetry = No. 65
- relative energy among the computed polymorphs (eV/atom) = 0.000
- crystal system = orthorhombic
- raw formation energy (eV/f.u.) = 0.07
- VASP energy (eV per atom) = -3.507

---

# InPRh2

A geometry-optimized InPRh2 structure (PBEsol, Alexandria via LeMat-Bulk).

a b c (Å): 2.948 3.606 5.817
angles (deg): 90.00 90.00 90.00
Positions (direct):
In: 0.000 0.000 0.000
P: 0.500 0.500 0.369
Rh: 0.000 0.000 0.475
Rh: 0.500 0.500 0.762

Output
- symmetry = No. 25
- crystal system = orthorhombic
- VASP energy (eV per atom) = -6.606

---

# MgFe2Hg

A geometry-optimized MgFe2Hg structure (PBEsol, Alexandria via LeMat-Bulk).

a b c (Å): 3.150 4.424 8.669
angles (deg): 90.00 90.00 90.00
Positions (direct):
Mg: 0.000 0.000 0.000
Mg: 0.500 0.500 0.500
Fe: 0.000 0.000 0.462
Fe: 0.000 0.500 0.766
Fe: 0.500 0.000 0.266
Fe: 0.500 0.500 0.962
Hg: 0.000 0.500 0.226
Hg: 0.500 0.000 0.726

Output
- symmetry = No. 44
- crystal system = orthorhombic
- VASP energy (eV per atom) = -4.818

---

# Fe3Re

A geometry-optimized Fe3Re structure (PBEsol, Alexandria via LeMat-Bulk).

a b c (Å): 2.817 2.817 5.919
angles (deg): 90.00 90.00 90.00
Positions (direct):
Fe: 0.000 0.000 0.000
Fe: 0.500 0.500 0.232
Fe: 0.500 0.500 0.768
Re: 0.000 0.000 0.500

Output
- symmetry = No. 123
- crystal system = tetragonal
- VASP energy (eV per atom) = -10.006

---

# Cr4RuRh

A geometry-optimized Cr4RuRh structure (PBEsol, Alexandria via LeMat-Bulk).

a b c (Å): 4.654 4.654 4.654
angles (deg): 60.00 60.00 60.00
Positions (direct):
Cr: 0.125 0.125 0.125
Cr: 0.125 0.125 0.625
Cr: 0.125 0.625 0.125
Cr: 0.625 0.125 0.125
Ru: 0.750 0.750 0.750
Rh: 0.500 0.500 0.500

Output
- symmetry = No. 216
- crystal system = cubic
- VASP energy (eV per atom) = -9.884

---

# CoTeRh2

A geometry-optimized CoTeRh2 structure (PBEsol, Alexandria via LeMat-Bulk).

a b c (Å): 2.987 3.673 5.419
angles (deg): 90.00 90.00 90.00
Positions (direct):
Co: 0.000 0.000 0.000
Te: 0.500 0.500 0.705
Rh: 0.000 0.000 0.471
Rh: 0.500 0.500 0.186

Output
- symmetry = No. 25
- crystal system = orthorhombic
- raw formation energy (eV/f.u.) = 0.70
- VASP energy (eV per atom) = -6.709

---

# RbLiCo2

A geometry-optimized RbLiCo2 structure (PBEsol, Alexandria via LeMat-Bulk).

a b c (Å): 4.464 4.464 18.558
angles (deg): 90.00 90.00 90.00
Positions (direct):
Rb: 0.000 0.250 0.375
Rb: 0.000 0.750 0.625
Rb: 0.500 0.250 0.125
Rb: 0.500 0.750 0.875
Li: 0.000 0.250 0.875
Li: 0.000 0.750 0.125
Li: 0.500 0.250 0.625
Li: 0.500 0.750 0.375
Co: 0.000 0.000 0.000
Co: 0.000 0.500 0.000
Co: 0.250 0.250 0.750
Co: 0.250 0.750 0.250
Co: 0.500 0.000 0.500
Co: 0.500 0.500 0.500
Co: 0.750 0.250 0.750
Co: 0.750 0.750 0.250

Output
- symmetry = No. 141
- crystal system = tetragonal
- VASP energy (eV per atom) = -3.503

---

# Na2CrAs2

A geometry-optimized Na2CrAs2 structure (PBEsol, Alexandria via LeMat-Bulk).

a b c (Å): 6.437 6.437 4.871
angles (deg): 90.00 90.00 90.00
Positions (direct):
Na: 0.172 0.328 0.000
Na: 0.328 0.828 0.000
Na: 0.672 0.172 0.000
Na: 0.828 0.672 0.000
Cr: 0.000 0.000 0.500
Cr: 0.500 0.500 0.500
As: 0.139 0.639 0.500
As: 0.361 0.139 0.500
As: 0.639 0.861 0.500
As: 0.861 0.361 0.500

Output
- symmetry = No. 127
- relative energy among the computed polymorphs (eV/atom) = 0.000
- crystal system = tetragonal
- VASP energy (eV per atom) = -4.832

---

# Ca2ZnAs

A geometry-optimized Ca2ZnAs structure (PBEsol, Alexandria via LeMat-Bulk).

a b c (Å): 4.809 4.809 3.943
angles (deg): 90.00 90.00 90.00
Positions (direct):
Ca: 0.000 0.500 0.000
Ca: 0.500 0.000 0.000
Zn: 0.000 0.000 0.500
As: 0.500 0.500 0.500

Output
- symmetry = No. 123
- relative energy among the computed polymorphs (eV/atom) = 0.084
- crystal system = tetragonal
- VASP energy (eV per atom) = -3.412

---

# CsCdSb2Te

A geometry-optimized CsCdSb2Te structure (PBEsol, Alexandria via LeMat-Bulk).

a b c (Å): 6.150 6.150 6.134
angles (deg): 90.00 90.00 90.00
Positions (direct):
Cs: 0.000 0.000 0.000
Cd: 0.500 0.500 0.500
Sb: 0.000 0.500 0.000
Sb: 0.500 0.000 0.000
Te: 0.000 0.000 0.500

Output
- symmetry = No. 123
- crystal system = tetragonal
- raw formation energy (eV/f.u.) = 6.85
- VASP energy (eV per atom) = -1.586

---

# YMgAg2

A geometry-optimized YMgAg2 structure (PBEsol, Alexandria via LeMat-Bulk).

a b c (Å): 4.464 4.464 8.138
angles (deg): 90.00 90.00 90.00
Positions (direct):
Y: 0.000 0.000 0.000
Y: 0.500 0.500 0.500
Mg: 0.000 0.500 0.750
Mg: 0.500 0.000 0.250
Ag: 0.000 0.000 0.500
Ag: 0.000 0.500 0.250
Ag: 0.500 0.000 0.750
Ag: 0.500 0.500 0.000

Output
- symmetry = No. 119
- crystal system = tetragonal
- VASP energy (eV per atom) = -3.963

---

# KAuBr

A geometry-optimized KAuBr structure (PBEsol, Alexandria via LeMat-Bulk).

a b c (Å): 7.262 7.262 7.262
angles (deg): 90.00 90.00 90.00
Positions (direct):
K: 0.000 0.000 0.000
K: 0.000 0.500 0.500
K: 0.500 0.000 0.500
K: 0.500 0.500 0.000
Au: 0.250 0.250 0.250
Au: 0.250 0.750 0.750
Au: 0.750 0.250 0.750
Au: 0.750 0.750 0.250
Br: 0.250 0.250 0.750
Br: 0.250 0.750 0.250
Br: 0.750 0.250 0.250
Br: 0.750 0.750 0.750

Output
- symmetry = No. 216
- crystal system = cubic
- raw formation energy (eV/f.u.) = -0.31
- VASP energy (eV per atom) = -2.414

---

# LiYMo2

A geometry-optimized LiYMo2 structure (PBEsol, Alexandria via LeMat-Bulk).

a b c (Å): 2.848 5.016 4.988
angles (deg): 90.00 97.39 90.00
Positions (direct):
Li: 0.000 0.000 0.000
Y: 0.500 0.000 0.500
Mo: 0.131 0.500 0.749
Mo: 0.869 0.500 0.251

Output
- symmetry = No. 10
- relative energy among the computed polymorphs (eV/atom) = 0.136
- crystal system = monoclinic
- VASP energy (eV per atom) = -7.559

---

# BaCrBr2

A geometry-optimized BaCrBr2 structure (PBEsol, Alexandria via LeMat-Bulk).

a b c (Å): 4.160 4.160 27.071
angles (deg): 90.00 90.00 120.00
Positions (direct):
Ba: 0.000 0.000 0.000
Ba: 0.333 0.667 0.667
Ba: 0.667 0.333 0.333
Cr: 0.000 0.000 0.500
Cr: 0.333 0.667 0.167
Cr: 0.667 0.333 0.833
Br: 0.000 0.000 0.117
Br: 0.000 0.000 0.883
Br: 0.333 0.667 0.550
Br: 0.333 0.667 0.784
Br: 0.667 0.333 0.216
Br: 0.667 0.333 0.450

Output
- symmetry = No. 166
- relative energy among the computed polymorphs (eV/atom) = 0.184
- crystal system = trigonal
- raw formation energy (eV/f.u.) = -1.85
- VASP energy (eV per atom) = -4.494

---

# KRbCd2

A geometry-optimized KRbCd2 structure (PBEsol, Alexandria via LeMat-Bulk).

a b c (Å): 8.539 8.539 8.539
angles (deg): 90.00 90.00 90.00
Positions (direct):
K: 0.000 0.000 0.000
K: 0.000 0.500 0.500
K: 0.500 0.000 0.500
K: 0.500 0.500 0.000
Rb: 0.000 0.000 0.500
Rb: 0.000 0.500 0.000
Rb: 0.500 0.000 0.000
Rb: 0.500 0.500 0.500
Cd: 0.250 0.250 0.250
Cd: 0.250 0.250 0.750
Cd: 0.250 0.750 0.250
Cd: 0.250 0.750 0.750
Cd: 0.750 0.250 0.250
Cd: 0.750 0.250 0.750
Cd: 0.750 0.750 0.250
Cd: 0.750 0.750 0.750

Output
- symmetry = No. 225
- crystal system = cubic
- VASP energy (eV per atom) = -1.022

---

# Be2AlCl

A geometry-optimized Be2AlCl structure (PBEsol, Alexandria via LeMat-Bulk).

a b c (Å): 6.208 6.208 6.208
angles (deg): 90.00 90.00 90.00
Positions (direct):
Be: 0.250 0.250 0.250
Be: 0.250 0.250 0.750
Be: 0.250 0.750 0.250
Be: 0.250 0.750 0.750
Be: 0.750 0.250 0.250
Be: 0.750 0.250 0.750
Be: 0.750 0.750 0.250
Be: 0.750 0.750 0.750
Al: 0.000 0.000 0.000
Al: 0.000 0.500 0.500
Al: 0.500 0.000 0.500
Al: 0.500 0.500 0.000
Cl: 0.000 0.000 0.500
Cl: 0.000 0.500 0.000
Cl: 0.500 0.000 0.000
Cl: 0.500 0.500 0.500

Output
- symmetry = No. 225
- relative energy among the computed polymorphs (eV/atom) = 0.950
- crystal system = cubic
- raw formation energy (eV/f.u.) = 3.84
- VASP energy (eV per atom) = -2.566